1.
Material: Li2MgMoAs
Method: DFT, GGA-PBE
State: relaxed

## Properties
Formation energy ... 18.62 kJ per mole of atoms
Energy ... -19.9 eV per cell
Calculated density ... 3.5 g cm⁻³
DOS at the Fermi energy ... 2.888 states/eV/f.u.

Geometry as CIF:
```
data_Li2MgMoAs
_chemical_formula_sum 'Li2 Mg1 Mo1 As1'
_space_group_name_H-M_alt 'P 4/m m m'
_space_group_IT_number 123
_space_group_name_Hall '-P 4 2'
_cell_length_a 4.526
_cell_length_b 4.526
_cell_length_c 4.817
_cell_angle_alpha 90.00
_cell_angle_beta 90.00
_cell_angle_gamma 90.00
loop_
_atom_site_label
_atom_site_type_symbol
_atom_site_fract_x
_atom_site_fract_y
_atom_site_fract_z
Li1 Li 0.000 0.500 0.000
Mg1 Mg 0.000 0.000 0.500
Mo1 Mo 0.500 0.500 0.500
As1 As 0.500 0.500 0.000
```



2.
Material: LiMg2AsN
Method: DFT, GGA-PBE
State: relaxed

## Properties
E_form (uncorrected) ... -2.72 eV/f.u.
Energy ... -20.8 eV per cell
Calculated density ... 3.3 g cm⁻³
DOS at the Fermi energy ... 4.350 states/eV/f.u.

Geometry as CIF:
```
data_LiMg2AsN
_chemical_formula_sum 'Li1 Mg2 As1 N1'
_space_group_name_H-M_alt 'P 4/m m m'
_space_group_IT_number 123
_space_group_name_Hall '-P 4 2'
_cell_length_a 4.191
_cell_length_b 4.191
_cell_length_c 4.180
_cell_angle_alpha 90.00
_cell_angle_beta 90.00
_cell_angle_gamma 90.00
loop_
_atom_site_label
_atom_site_type_symbol
_atom_site_fract_x
_atom_site_fract_y
_atom_site_fract_z
Li1 Li 0.000 0.000 0.000
Mg1 Mg 0.000 0.500 0.500
As1 As 0.500 0.500 0.000
N1 N 0.000 0.000 0.500
```



3.
Material: LiMgNiAs
Method: DFT, GGA-PBE
State: relaxed

## Properties
Formation energy ... -35.86 kJ per mole of atoms
Energy ... -61.7 eV per cell
Calculated density ... 4.9 g cm⁻³
DOS at the Fermi energy ... 1.122 states/eV/f.u.

Geometry as CIF:
```
data_LiMgNiAs
_chemical_formula_sum 'Li4 Mg4 Ni4 As4'
_space_group_name_H-M_alt 'F -4 3 m'
_space_group_IT_number 216
_space_group_name_Hall 'F -4 2 3'
_cell_length_a 6.055
_cell_length_b 6.055
_cell_length_c 6.055
_cell_angle_alpha 90.00
_cell_angle_beta 90.00
_cell_angle_gamma 90.00
loop_
_atom_site_label
_atom_site_type_symbol
_atom_site_fract_x
_atom_site_fract_y
_atom_site_fract_z
Li1 Li 0.000 0.000 0.000
Mg1 Mg 0.250 0.250 0.750
Ni1 Ni 0.000 0.000 0.500
As1 As 0.250 0.250 0.250
```



4.
Material: Li2MgAs2O6
Method: DFT, GGA-PBE
State: relaxed

## Properties
E_form (uncorrected) ... -17.68 eV/f.u.
Energy ... -62.2 eV per cell
Calculated density ... 3.0 g cm⁻³
DOS at the Fermi energy ... 2.838 states/eV/f.u.

Geometry as CIF:
```
data_Li2MgAs2O6
_chemical_formula_sum 'Li2 Mg1 As2 O6'
_space_group_name_H-M_alt 'P -3'
_space_group_IT_number 147
_cell_length_a 5.2901
_cell_length_b 5.2901
_cell_length_c 6.3973
_cell_angle_alpha 90.00
_cell_angle_beta 90.00
_cell_angle_gamma 120.00
loop_
_space_group_symop_operation_xyz
'x,y,z'
'-x,-y,-z'
'-y,x-y,z'
'y,-x+y,-z'
'-x+y,-x,z'
'x-y,x,-z'
loop_
_atom_site_label
_atom_site_type_symbol
_atom_site_fract_x
_atom_site_fract_y
_atom_site_fract_z
Li1 Li 0.3333 0.6667 0.1637
Mg1 Mg 0.0000 0.0000 0.0000
As1 As 0.3333 0.6667 0.7132
O1 O 0.0399 0.6865 0.8178
```



5.
Material: Li2MgAsO
Method: DFT, GGA-PBE
State: relaxed

## Properties
E_form (uncorrected) ... -6.27 eV/f.u.
Energy ... -21.3 eV per cell
Calculated density ... 3.2 g cm⁻³
DOS at the Fermi energy ... 2.985 states/eV/f.u.

Geometry as CIF:
```
data_Li2MgAsO
_chemical_formula_sum 'Li2 Mg1 As1 O1'
_space_group_name_H-M_alt 'P 4/m m m'
_space_group_IT_number 123
_space_group_name_Hall '-P 4 2'
_cell_length_a 4.095
_cell_length_b 4.095
_cell_length_c 4.002
_cell_angle_alpha 90.00
_cell_angle_beta 90.00
_cell_angle_gamma 90.00
loop_
_atom_site_label
_atom_site_type_symbol
_atom_site_fract_x
_atom_site_fract_y
_atom_site_fract_z
Li1 Li 0.000 0.500 0.000
Mg1 Mg 0.000 0.000 0.500
As1 As 0.500 0.500 0.500
O1 O 0.000 0.000 0.000
```



6.
Material: LiMgAs2O8
Method: DFT, GGA-PBE
State: relaxed

## Properties
E_form (uncorrected) ... -13.53 eV/f.u.
Energy ... -66.0 eV per cell
Calculated density ... 3.3 g cm⁻³
DOS at the Fermi energy ... 7.287 states/eV/f.u.

Geometry as CIF:
```
data_LiMgAs2O8
_chemical_formula_sum 'Li1 Mg1 As2 O8'
_space_group_name_H-M_alt 'P -3'
_space_group_IT_number 147
_cell_length_a 5.5818
_cell_length_b 5.5818
_cell_length_c 5.7588
_cell_angle_alpha 90.00
_cell_angle_beta 90.00
_cell_angle_gamma 120.00
loop_
_space_group_symop_operation_xyz
'x,y,z'
'-x,-y,-z'
'-y,x-y,z'
'y,-x+y,-z'
'-x+y,-x,z'
'x-y,x,-z'
loop_
_atom_site_label
_atom_site_type_symbol
_atom_site_fract_x
_atom_site_fract_y
_atom_site_fract_z
Li1 Li 0.0000 0.0000 0.0000
Mg1 Mg 0.0000 0.0000 0.5000
As1 As 0.3333 0.6667 0.6605
O1 O 0.1617 0.3259 0.7408
O2 O 0.3333 0.6667 0.3514
```



> Look up the DOS at the Fermi energy of the second one.

4.350 states/eV/f.u.



> What is the formula in the first record?

Li2MgMoAs



> Among the records above, which one has the highest calculated density?

LiMgNiAs



> What is the DOS at the Fermi energy in the third record?

1.122 states/eV/f.u.